No. 1
VASP calculation (PBE-GGA) on an optimized crystal structure of PmTmMgAu.

a = 3.7140 Å, b = 3.7140 Å, c = 7.3626 Å
α = 90.00°, β = 90.00°, γ = 90.00°
Fractional coordinates of all 4 atoms:
Pm 0.0000 0.0000 0.0000
Tm 0.0000 0.0000 0.4696
Mg 0.5000 0.5000 0.7237
Au 0.5000 0.5000 0.2645

Properties
Space group: P4mm, No. 99
Energy above the most stable polymorph in this dataset, meV/atom: 0
Electronic total energy, eV/atom: -3.982

---

No. 2
VASP calculation (PBE-GGA) on an optimized crystal structure of Be2NbAl2.

a = 6.8036 Å, b = 6.8036 Å, c = 2.8554 Å
α = 90.00°, β = 90.00°, γ = 90.00°
Fractional coordinates of all 10 atoms:
Be 0.1178 0.3822 0.0000
Be 0.3822 0.8822 0.0000
Be 0.6178 0.1178 0.0000
Be 0.8822 0.6178 0.0000
Nb 0.0000 0.0000 0.0000
Nb 0.5000 0.5000 0.0000
Al 0.1744 0.6744 0.5000
Al 0.3256 0.1744 0.5000
Al 0.6744 0.8256 0.5000
Al 0.8256 0.3256 0.5000

Properties
Space group: P4/mbm, No. 127
Energy above the most stable polymorph in this dataset, meV/atom: 0
Electronic total energy, eV/atom: -5.054